No. 1
Here is crystalline Pr3CdHg2Ir2Au at its relaxed geometry from OQMD. Energies are from PBE.

Calculated values
**Symmetry**: Amm2
**Raw total energy**: -41.7 eV/cell
**ΔH_f (0 K)**: -0.546 eV per atom

```
Pr3CdHg2Ir2Au
1.0
-0.7253 3.9262 -0.3561
2.7232 1.1628 7.2738
4.8497 0.3364 -6.1679
Au Cd Hg Ir Pr
1 1 2 2 3
direct
0.0000 0.9927 0.9927
0.5000 0.7353 0.7353
0.5000 0.9987 0.2657
0.5000 0.2657 0.9987
0.5000 0.6691 0.3409
0.5000 0.3409 0.6691
0.0000 0.5892 0.0020
0.0000 0.4063 0.4063
0.0000 0.0020 0.5892
```

No. 2
Here is crystalline LaCdHgAu at its relaxed geometry from OQMD. Energies are from PBE.

Calculated values
**Symmetry**: F-43m
**Raw total energy**: -11.3 eV/cell
**ΔE to the lowest computed polymorph**: 96.1 meV per atom
**ΔH_f (0 K)**: -0.469 eV per atom

```
LaCdHgAu
1.0
-2.5308 2.1253 3.9662
-5.1563 0.2479 -0.0631
-2.7664 -2.9728 3.1878
Au Cd Hg La
1 1 1 1
direct
0.7500 0.7500 0.7500
0.2500 0.2500 0.2500
0.0000 0.0000 0.0000
0.5000 0.5000 0.5000
```

No. 3
Here is crystalline LaCdHgAu at its relaxed geometry from OQMD. Energies are from PBE.

Calculated values
**Symmetry**: F-43m
**Raw total energy**: -11.6 eV/cell
**ΔE to the lowest computed polymorph**: 0.0 meV per atom
**ΔH_f (0 K)**: -0.565 eV per atom

```
LaCdHgAu
1.0
0.0000 3.6566 3.6566
3.6566 0.0000 3.6566
3.6566 3.6566 0.0000
Au Cd Hg La
1 1 1 1
direct
0.7500 0.7500 0.7500
0.0000 0.0000 0.0000
0.2500 0.2500 0.2500
0.5000 0.5000 0.5000
```

No. 4
Here is crystalline LaCdHgAu at its relaxed geometry from OQMD. Energies are from PBE.

Calculated values
**Symmetry**: F-43m
**Raw total energy**: -11.1 eV/cell
**ΔE to the lowest computed polymorph**: 134.7 meV per atom
**ΔH_f (0 K)**: -0.431 eV per atom

```
LaCdHgAu
1.0
-0.9353 -3.5494 -3.6041
-4.4552 0.0569 -2.5711
-0.0867 1.3379 -4.9664
Au Cd Hg La
1 1 1 1
direct
0.7500 0.7500 0.7500
0.5000 0.5000 0.5000
0.0000 0.0000 0.0000
0.2500 0.2500 0.2500
```

No. 5
Here is crystalline La3CdHg2Pt2Au at its relaxed geometry from OQMD. Energies are from PBE.

Calculated values
**Symmetry**: Amm2
**Raw total energy**: -39.1 eV/cell
**ΔH_f (0 K)**: -0.835 eV per atom

```
La3CdHg2Pt2Au
1.0
4.0264 0.0000 0.0000
0.0000 6.9277 3.9673
0.0000 -6.9277 3.9673
Au Cd Hg La Pt
1 1 2 3 2
direct
0.0000 0.9920 0.9920
0.5000 0.7373 0.7373
0.5000 0.9982 0.2636
0.5000 0.2636 0.9982
0.0000 0.5927 0.0041
0.0000 0.4009 0.4009
0.0000 0.0041 0.5927
0.5000 0.6688 0.3422
0.5000 0.3422 0.6688
```

No. 6
Here is crystalline Li2Mg2Cd2HgAu at its relaxed geometry from OQMD. Energies are from PBE.

Calculated values
**Symmetry**: P-4m2
**Raw total energy**: -15.0 eV/cell

```
Li2Mg2Cd2HgAu
1.0
-3.4444 2.2345 -2.2767
1.1561 -2.2484 -3.9558
-4.2468 -4.9463 1.5703
Au Cd Hg Li Mg
1 2 1 2 2
direct
0.0000 0.0000 0.5000
0.0000 0.5000 0.2584
0.5000 0.0000 0.7416
0.5000 0.5000 0.0000
0.0000 0.0000 0.0000
0.5000 0.5000 0.5000
0.5000 0.0000 0.2652
0.0000 0.5000 0.7348
```

No. 7
Here is crystalline Mg2Sc2Cd2HgAu at its relaxed geometry from OQMD. Energies are from PBE.

Calculated values
**Symmetry**: P-4m2
**Raw total energy**: -24.5 eV/cell

```
Mg2Sc2Cd2HgAu
1.0
4.8682 0.0000 0.0000
0.0000 4.8682 0.0000
0.0000 0.0000 6.8478
Au Cd Hg Mg Sc
1 2 1 2 2
direct
0.0000 0.0000 0.0000
0.5000 0.5000 0.0000
0.0000 0.0000 0.5000
0.5000 0.5000 0.5000
0.5000 0.0000 0.2435
0.0000 0.5000 0.7565
0.0000 0.5000 0.2420
0.5000 0.0000 0.7580
```

No. 8
Here is crystalline Y2MgCd2Hg2Au at its relaxed geometry from OQMD. Energies are from PBE.

Calculated values
**Symmetry**: P-4m2
**Raw total energy**: -23.2 eV/cell

```
Y2MgCd2Hg2Au
1.0
-1.3998 4.5245 -1.6762
-1.5932 -2.0808 -4.2862
-6.4818 -0.9431 2.8672
Au Cd Hg Mg Y
1 2 2 1 2
direct
0.0000 0.0000 0.0000
0.0000 0.5000 0.2447
0.5000 0.0000 0.7553
0.5000 0.0000 0.2527
0.0000 0.5000 0.7473
0.5000 0.5000 0.5000
0.5000 0.5000 0.0000
0.0000 0.0000 0.5000
```